No. 1
The following is a DFT calculation (PBE-GGA) of Se2S3 after structural relaxation.

Computed properties:
**Formation energy without anion corrections**: 253 meV/atom
**N(E_F)**: 5.108 states/eV per cell

Cell: 8.5693 15.8221 6.5312 Å, 90.00 130.94 90.00°
Space group Cc (No. 9)
One atom of each set of equivalent atoms:
Se: 0.0000 0.0054 0.0000
Se: 0.0776 0.2437 0.1591
S: 0.0459 0.2278 0.4450
S: 0.1816 0.1253 0.0765
S: 0.1822 0.4807 0.2151


No. 2
The following is a DFT calculation (PBE-GGA) of Se3S after structural relaxation.

Computed properties:
**Formation energy without anion corrections**: 289 meV/atom
**N(E_F)**: 1.394 states/eV per cell

Cell: 3.9505 3.9505 5.4716 Å, 90.00 90.00 90.00°
Space group P4/mmm (No. 123)
One atom of each set of equivalent atoms:
Se: 0.0000 0.0000 0.0000
Se: 0.0000 0.0000 0.5000
Se: 0.5000 0.5000 0.0000
S: 0.5000 0.5000 0.5000